# YTaAg2

An optimized crystal structure of YTaAg2 (PBE-GGA, Alexandria via LeMat-Bulk).

Geometry as extended XYZ:
```
4
Lattice="3.0294 0.0000 0.0000 0.0000 4.6578 0.0000 -1.5055 0.0000 5.8035" Properties=species:S:1:pos:R:3 pbc="T T T"
Y 0.0000 0.0000 0.0000
Ta 0.0040 2.3289 3.8701
Ag 1.5161 2.3289 1.2290
Ag 1.5100 0.0000 2.8335
```

Calculated values
Size of the total moment (Bohr magnetons per cell): 0.3
ΔE_f (eV/atom): 0.26
Uncorrected energy (eV per atom): -5.74
Crystal system: monoclinic